# Ba2TcAgS6, optimized geometry, DFT PBE
data_Ba2TcAgS6
_symmetry_space_group_name_H-M 'R 3'
_symmetry_Int_Tables_number 146
_symmetry_space_group_name_Hall 'R 3'
_cell_length_a 7.1204
_cell_length_b 7.1204
_cell_length_c 16.1439
_cell_angle_alpha 90.00
_cell_angle_beta 90.00
_cell_angle_gamma 120.00
loop_
_atom_site_label
_atom_site_fract_x
_atom_site_fract_y
_atom_site_fract_z
Ba1 0.0000 0.0000 0.0000
Ba2 0.0000 0.0000 0.4921
Tc1 0.0000 0.0000 0.7692
Ag1 0.0000 0.0000 0.2749
S1 0.0062 0.4562 0.4929
S2 0.1284 0.7476 0.3242
# E_tot: -149.8 eV for the cell shown
# energy relative to the lowest polymorph listed for this composition: 0.000 eV per atom

# Ba2TcAgS6, optimized geometry, DFT PBE
data_Ba2TcAgS6
_symmetry_space_group_name_H-M 'F m -3 m'
_symmetry_Int_Tables_number 225
_symmetry_space_group_name_Hall '-F 4 2 3'
_cell_length_a 9.828
_cell_length_b 9.828
_cell_length_c 9.828
_cell_angle_alpha 90.00
_cell_angle_beta 90.00
_cell_angle_gamma 90.00
loop_
_atom_site_label
_atom_site_fract_x
_atom_site_fract_y
_atom_site_fract_z
Ba1 0.250 0.250 0.250
Tc1 0.000 0.000 0.000
Ag1 0.000 0.000 0.500
S1 0.000 0.000 0.242
# E_tot: -196.5 eV for the cell shown
# energy relative to the lowest polymorph listed for this composition: 0.081 eV per atom

# Ba2AgTeS6, optimized geometry, DFT PBE
data_Ba2AgTeS6
_symmetry_space_group_name_H-M 'F m -3 m'
_symmetry_Int_Tables_number 225
_symmetry_space_group_name_Hall '-F 4 2 3'
_cell_length_a 10.075
_cell_length_b 10.075
_cell_length_c 10.075
_cell_angle_alpha 90.00
_cell_angle_beta 90.00
_cell_angle_gamma 90.00
loop_
_atom_site_label
_atom_site_fract_x
_atom_site_fract_y
_atom_site_fract_z
Ba1 0.250 0.250 0.250
Ag1 0.000 0.000 0.000
Te1 0.000 0.000 0.500
S1 0.000 0.000 0.251
# E_tot: -164.8 eV for the cell shown

# Ba3UAgS6, optimized geometry, DFT PBE
data_Ba3UAgS6
_symmetry_space_group_name_H-M 'R -3 c'
_symmetry_Int_Tables_number 167
_symmetry_space_group_name_Hall '-R 3 2"c'
_cell_length_a 12.3087
_cell_length_b 12.3087
_cell_length_c 14.0099
_cell_angle_alpha 90.00
_cell_angle_beta 90.00
_cell_angle_gamma 120.00
loop_
_atom_site_label
_atom_site_fract_x
_atom_site_fract_y
_atom_site_fract_z
Ba1 0.0000 0.3734 0.2500
U1 0.0000 0.0000 0.0000
Ag1 0.0000 0.0000 0.2500
S1 0.0258 0.1840 0.3903
# E_tot: -375.5 eV for the cell shown